1.
Below is crystalline CsMg3Hg at its relaxed geometry, with properties calculated at the GGA-PBE level.

abc: 5.540 5.540 5.540
angles: 90.00 90.00 90.00
Space group Pm-3m (No. 221)
Unique sites:
1 Cs 0.000 0.000 0.000 x1
2 Mg 0.000 0.500 0.500 x3
3 Hg 0.500 0.500 0.500 x1

Calculated formation energy in eV/atom: 0.147

=====

2.
Below is crystalline CsMg3Hg at its relaxed geometry, with properties calculated at the GGA-PBE level.

abc: 7.985 7.985 7.985
angles: 90.00 90.00 90.00
Space group Pm-3m (No. 221)
Unique sites:
1 Cs 0.000 0.000 0.000 x1
2 Mg 0.000 0.000 0.500 x3
3 Hg 0.500 0.500 0.500 x1

Calculated formation energy in eV/atom: 0.851

=====

3.
Below is crystalline Cs12MgHg6 at its relaxed geometry, with properties calculated at the GGA-PBE level.

abc: 13.7955 13.7955 23.8466
angles: 90.00 90.00 120.00
Space group R-3m (No. 166, hexagonal axes)
Unique sites:
1 Cs 0.0127 0.5063 0.4014 x18
2 Cs 0.0902 0.5451 0.0927 x18
3 Mg 0.0000 0.0000 0.0000 x3
4 Hg 0.0681 0.5340 0.7550 x18

Calculated formation energy in eV/atom: -0.066

=====

4.
Below is crystalline Cs2MgHg4 at its relaxed geometry, with properties calculated at the GGA-PBE level.

abc: 5.686 5.686 18.932
angles: 90.00 90.00 90.00
Space group I4/mmm (No. 139)
Unique sites:
1 Cs 0.000 0.000 0.139 x4
2 Mg 0.000 0.000 0.500 x2
3 Hg 0.000 0.000 0.347 x4
4 Hg 0.000 0.500 0.000 x4

Calculated formation energy in eV/atom: -0.159